Record 1
Below is a relaxed structure of DyHo12Tm7, with properties calculated at the GGA-PBE level.

Values from the calculation:
DFT total energy = -4.2313 eV per atom
energy relative to the lowest polymorph listed for this composition = 0 meV/atom
crystal system = trigonal

a b c (Å): 8.5811 8.5811 8.5811
angles (deg): 95.06 95.06 95.06
Fractional coordinates of all 20 atoms:
Dy 0.0000 0.0000 0.0000
Ho 0.1471 0.4770 0.4153
Ho 0.1873 0.3142 0.7502
Ho 0.2498 0.8127 0.6858
Ho 0.3142 0.7502 0.1873
Ho 0.4153 0.1471 0.4770
Ho 0.4770 0.4153 0.1471
Ho 0.5230 0.5847 0.8529
Ho 0.5847 0.8529 0.5230
Ho 0.6858 0.2498 0.8127
Ho 0.7502 0.1873 0.3142
Ho 0.8127 0.6858 0.2498
Ho 0.8529 0.5230 0.5847
Tm 0.0199 0.3513 0.0823
Tm 0.0823 0.0199 0.3513
Tm 0.3513 0.0823 0.0199
Tm 0.5000 0.5000 0.5000
Tm 0.6487 0.9177 0.9801
Tm 0.9177 0.9801 0.6487
Tm 0.9801 0.6487 0.9177



Record 2
Below is a relaxed structure of VCoReGe, with properties calculated at the GGA-PBE level.

Values from the calculation:
DFT total energy = -8.4098 eV per atom
crystal system = cubic

a b c (Å): 5.9592 5.9592 5.9592
angles (deg): 90.00 90.00 90.00
Fractional coordinates of all 16 atoms:
V 0.0000 0.0000 0.0000
V 0.0000 0.5000 0.5000
V 0.5000 0.0000 0.5000
V 0.5000 0.5000 0.0000
Co 0.2500 0.2500 0.7500
Co 0.2500 0.7500 0.2500
Co 0.7500 0.2500 0.2500
Co 0.7500 0.7500 0.7500
Re 0.2500 0.2500 0.2500
Re 0.2500 0.7500 0.7500
Re 0.7500 0.2500 0.7500
Re 0.7500 0.7500 0.2500
Ge 0.0000 0.0000 0.5000
Ge 0.0000 0.5000 0.0000
Ge 0.5000 0.0000 0.0000
Ge 0.5000 0.5000 0.5000



Number 1: M_tot 0.0 μB per formula unit, energy of formation 0.311 eV per atom. Number 2: M_tot 1.0 μB per formula unit, energy of formation -0.087 eV per atom.